The following is a DFT calculation (meta-GGA SCAN) of Cd2TcRu at its PBEsol-relaxed geometry.

Unit cell a=5.4881 b=5.4881 c=5.4881 alpha=148.88 beta=130.25 gamma=59.86
With the nearest neighbours (Å) after each atom.
Sites, in units of the cell vectors:
Cd 0.2458 0.2458 0.0000  6 Cd 2.74-2.94, 2 Ru 2.76, 2 Tc 2.83
Cd 0.7542 0.7542 0.0000  6 Cd 2.74-2.94, 2 Ru 2.76, 2 Tc 2.83
Tc 0.5000 0.0000 0.5000  4 Ru 2.74, 4 Cd 2.83, 2 Tc 2.94
Ru 0.0000 0.5000 0.5000  4 Tc 2.74, 4 Cd 2.76, 2 Ru 2.94

Properties
- SG: Immm, No. 71
- Formation enthalpy at 0 K: 2.13 eV/f.u.
- Density: 10.885 g/cm3
- Calculated volume: 64.67 Å³ per cell
- E above lowest polymorph: 0 meV/atom

=====

The following is a DFT calculation (meta-GGA SCAN) of CdTe2Ru at its PBEsol-relaxed geometry.

Unit cell a=4.9266 b=4.9266 c=4.9266 alpha=60.00 beta=60.00 gamma=60.00
With the nearest neighbours (Å) after each atom.
Sites, in units of the cell vectors:
Cd 0.0000 0.0000 0.0000  4 Te 3.02, 4 Ru 3.02
Te 0.5000 0.5000 0.5000  4 Ru 3.02, 4 Te 3.02
Te 0.7500 0.7500 0.7500  4 Te 3.02, 4 Cd 3.02
Ru 0.2500 0.2500 0.2500  4 Te 3.02, 4 Cd 3.02

Properties
- SG: F-43m, No. 216
- Energy relative to the elements, uncorrected: 0.75 eV/atom
- Density: 9.205 g/cm3
- Calculated volume: 84.55 Å³ per cell
- E above lowest polymorph: 752 meV/atom